1.
First-principles (SCAN) data for a PBEsol-optimized structure of CeMgTl, as listed in the Alexandria database.

CIF file:
```
data_CeMgTl
_chemical_formula_sum 'Ce3 Mg3 Tl3'
_cell_length_a 7.6077
_cell_length_b 7.6077
_cell_length_c 4.7124
_cell_angle_alpha 90.00
_cell_angle_beta 90.00
_cell_angle_gamma 120.00
_space_group_name_H-M_alt 'P -6 2 m'
_space_group_IT_number 189
_space_group_name_Hall 'P -6 -2'
loop_
_atom_site_label
_atom_site_type_symbol
_atom_site_fract_x
_atom_site_fract_y
_atom_site_fract_z
Ce1 Ce 0.0000 0.5741 0.0000
Mg1 Mg 0.0000 0.2421 0.5000
Tl1 Tl 0.0000 0.0000 0.0000
Tl2 Tl 0.3333 0.6667 0.5000
```

- Formation energy from the elements: -0.431 eV per atom
- Crystal system: hexagonal

2.
First-principles (SCAN) data for a PBEsol-optimized structure of Mg3CuO, as listed in the Alexandria database.

CIF file:
```
data_Mg3CuO
_chemical_formula_sum 'Mg3 Cu1 O1'
_cell_length_a 4.695
_cell_length_b 4.695
_cell_length_c 4.695
_cell_angle_alpha 90.00
_cell_angle_beta 90.00
_cell_angle_gamma 90.00
_space_group_name_H-M_alt 'P m -3 m'
_space_group_IT_number 221
_space_group_name_Hall '-P 4 2 3'
loop_
_atom_site_label
_atom_site_type_symbol
_atom_site_fract_x
_atom_site_fract_y
_atom_site_fract_z
Mg1 Mg 0.000 0.000 0.500
Cu1 Cu 0.000 0.000 0.000
O1 O 0.500 0.500 0.500
```

- Formation energy (no corrections): 0.334 eV per atom
- Crystal system: cubic

Computed DOS(E_F), in the same sequence as the records: 2.09; 0.49 states/eV per atom.
Computed total magnetic moment, in the same sequence as the records: 3.09; 0.79 μB/cell.